VASP calculation (PBE-GGA) on an optimized crystal structure of PmY7In4.

Structure (extended XYZ):
```
12
Lattice="-1.287 3.938 -3.850 -6.793 -3.460 -5.421 -6.285 4.063 2.104" Properties=species:S:1:pos:R:3 pbc="T T T"
Pm 0.000 0.000 0.000
Y -10.414 2.296 -6.631
Y -3.951 2.246 -0.536
Y -5.887 -0.775 -2.978
Y -8.478 5.316 -4.189
Y -9.644 2.026 -3.011
Y -0.644 1.969 -1.925
Y -4.722 2.516 -4.156
In -6.347 3.995 -2.100
In -8.019 0.547 -5.067
In -11.497 4.310 -4.209
In -2.869 0.231 -2.958
```

Output
- calculated volume (Å³/f.u.) = 361.4
- raw total energy (eV per atom) = -5.22
- ΔH_f (0 K) (eV per atom) = -0.1374